Here is an optimized crystal structure of BeVCoO from the Alexandria database. Energies are from PBE with a Hubbard U.

Lattice parameters (Å, degrees): 2.9263 2.9263 5.4642 90.00 90.00 90.00
Space group P4mm (No. 99)
Asymmetric unit:
Be1 0.0000 0.0000 0.0000 [1 per cell]
V1 0.5000 0.5000 0.6345 [1 per cell]
Co1 0.5000 0.5000 0.1964 [1 per cell]
O1 0.0000 0.0000 0.7049 [1 per cell]

Output
Its distance to the lowest polymorph of the same formula is 0.1895 eV per atom.